i:
{
  "formula": "HgHN2F",
  "functional": "PBE",
  "state": "optimized geometry",
  "lattice": [[4.470, 0.000, 0.000], [0.000, 4.470, 0.000], [0.000, 0.000, 4.693]],
  "species": ["Hg", "H", "N", "N", "F"],
  "frac_coords": [[0.000, 0.000, 0.000], [0.500, 0.500, 0.500], [0.000, 0.500, 0.000], [0.500, 0.000, 0.000], [0.000, 0.000, 0.500]],
  "total_magnetization_mub_per_cell": 5.363,
  "spacegroup": "P4/mmm",
  "volume_a3_per_cell": 94,
  "dos_ef_per_ev_atom": 0.115
}



ii:
{
  "formula": "HgHN2F",
  "functional": "PBE",
  "state": "optimized geometry",
  "lattice": [[3.273, 0.000, 0.000], [0.000, 3.273, 0.000], [0.000, 0.000, 4.787]],
  "species": ["Hg", "H", "N", "N", "F"],
  "frac_coords": [[0.000, 0.000, 0.000], [0.500, 0.500, 0.500], [0.000, 0.500, 0.500], [0.500, 0.000, 0.500], [0.500, 0.500, 0.000]],
  "total_magnetization_mub_per_cell": 1.403,
  "spacegroup": "P4/mmm",
  "volume_a3_per_cell": 51,
  "dos_ef_per_ev_atom": 0.296
}



Energies, relative to the best one, in meV/atom: i 422; ii 0.



i:
{
  "formula": "HgHOF2",
  "functional": "PBE",
  "state": "optimized geometry",
  "lattice": [[3.196, 0.000, 0.000], [0.000, 3.196, 0.000], [0.000, 0.000, 5.074]],
  "species": ["Hg", "H", "O", "F", "F"],
  "frac_coords": [[0.000, 0.000, 0.000], [0.500, 0.500, 0.500], [0.500, 0.500, 0.000], [0.000, 0.500, 0.500], [0.500, 0.000, 0.500]],
  "total_magnetization_mub_per_cell": 0.648,
  "spacegroup": "P4/mmm",
  "volume_a3_per_cell": 52,
  "dos_ef_per_ev_atom": 0.422
}



ii:
{
  "formula": "HgHOF2",
  "functional": "PBE",
  "state": "optimized geometry",
  "lattice": [[4.472, 0.000, 0.000], [0.000, 4.472, 0.000], [0.000, 0.000, 4.148]],
  "species": ["Hg", "H", "O", "F", "F"],
  "frac_coords": [[0.000, 0.000, 0.000], [0.500, 0.500, 0.500], [0.000, 0.000, 0.500], [0.000, 0.500, 0.000], [0.500, 0.000, 0.000]],
  "total_magnetization_mub_per_cell": 1.743,
  "spacegroup": "P4/mmm",
  "volume_a3_per_cell": 83,
  "dos_ef_per_ev_atom": 0.962
}



Energies, relative to the best one, in meV/atom: i 0; ii 429.



i:
{
  "formula": "HoHF4",
  "functional": "PBE",
  "state": "optimized geometry",
  "lattice": [[4.357, 0.000, 0.000], [0.000, 6.882, 0.000], [-1.543, 0.000, 5.185]],
  "species": ["Ho", "Ho", "H", "H", "F", "F", "F", "F", "F", "F", "F", "F"],
  "frac_coords": [[0.087, 0.250, 0.119], [0.913, 0.750, 0.881], [0.431, 0.750, 0.369], [0.569, 0.250, 0.631], [0.124, 0.564, 0.224], [0.124, 0.936, 0.224], [0.337, 0.250, 0.566], [0.401, 0.750, 0.847], [0.599, 0.250, 0.153], [0.663, 0.750, 0.434], [0.876, 0.064, 0.776], [0.876, 0.436, 0.776]],
  "total_magnetization_mub_per_cell": 0.000,
  "spacegroup": "P2_1/m",
  "volume_a3_per_cell": 155,
  "dos_ef_per_ev_atom": 0.000
}



ii:
{
  "formula": "HoHF4",
  "functional": "PBE",
  "state": "optimized geometry",
  "lattice": [[3.940, 0.000, 0.000], [0.000, 5.224, 0.000], [0.009, 2.599, 7.940]],
  "species": ["Ho", "Ho", "H", "H", "F", "F", "F", "F", "F", "F", "F", "F"],
  "frac_coords": [[0.250, 0.183, 0.135], [0.750, 0.817, 0.865], [0.249, 0.579, 0.343], [0.751, 0.421, 0.657], [0.249, 0.361, 0.338], [0.249, 0.801, 0.338], [0.250, 0.033, 0.902], [0.250, 0.565, 0.902], [0.750, 0.435, 0.098], [0.750, 0.967, 0.098], [0.751, 0.199, 0.662], [0.751, 0.639, 0.662]],
  "total_magnetization_mub_per_cell": 0.000,
  "spacegroup": "P-1",
  "volume_a3_per_cell": 163,
  "dos_ef_per_ev_atom": 0.000
}



Energies, relative to the best one, in meV/atom: i 21; ii 0.



i:
{
  "formula": "HI2F",
  "functional": "PBE",
  "state": "optimized geometry",
  "lattice": [[0.000, 3.341, 3.341], [3.341, 0.000, 3.341], [3.341, 3.341, 0.000]],
  "species": ["H", "I", "I", "F"],
  "frac_coords": [[0.000, 0.000, 0.000], [0.250, 0.250, 0.250], [0.750, 0.750, 0.750], [0.500, 0.500, 0.500]],
  "total_magnetization_mub_per_cell": 0.261,
  "spacegroup": "Fm-3m",
  "volume_a3_per_cell": 75,
  "dos_ef_per_ev_atom": 0.954
}



ii:
{
  "formula": "HI2F",
  "functional": "PBE",
  "state": "optimized geometry",
  "lattice": [[-2.669, 2.669, 6.717], [2.669, -2.669, 6.717], [2.669, 2.669, -6.717]],
  "species": ["H", "H", "I", "I", "I", "I", "F", "F"],
  "frac_coords": [[0.000, 0.000, 0.000], [0.750, 0.250, 0.500], [0.000, 0.625, 0.875], [0.375, 0.250, 0.375], [0.750, 0.125, 0.125], [0.875, 0.000, 0.625], [0.250, 0.750, 0.500], [0.500, 0.500, 0.000]],
  "total_magnetization_mub_per_cell": 0.000,
  "spacegroup": "I-42d",
  "volume_a3_per_cell": 191,
  "dos_ef_per_ev_atom": 0.265
}



Energies, relative to the best one, in meV/atom: i 317; ii 0.



i:
{
  "formula": "HIF",
  "functional": "PBE",
  "state": "optimized geometry",
  "lattice": [[2.977, 0.000, 0.000], [0.176, 3.557, 0.000], [0.012, 0.026, 6.792]],
  "species": ["H", "I", "F"],
  "frac_coords": [[0.000, 0.000, 0.000], [0.170, 0.395, 0.501], [0.701, 0.920, 0.001]],
  "total_magnetization_mub_per_cell": 0.000,
  "spacegroup": "P1",
  "volume_a3_per_cell": 72,
  "dos_ef_per_ev_atom": 0.373
}



ii:
{
  "formula": "HIF",
  "functional": "PBE",
  "state": "optimized geometry",
  "lattice": [[4.255, 0.000, 0.000], [-0.783, 5.579, 0.000], [-0.414, -2.901, 6.924]],
  "species": ["H", "H", "I", "I", "F", "F"],
  "frac_coords": [[0.000, 0.000, 0.000], [0.491, 0.957, 0.986], [0.480, 0.232, 0.538], [0.607, 0.727, 0.446], [0.265, 0.864, 0.954], [0.814, 0.093, 0.032]],
  "total_magnetization_mub_per_cell": 0.000,
  "spacegroup": "P1",
  "volume_a3_per_cell": 164,
  "dos_ef_per_ev_atom": 0.127
}



iii:
{
  "formula": "HIF",
  "functional": "PBE",
  "state": "optimized geometry",
  "lattice": [[4.466, 0.000, 0.000], [0.000, 6.800, 0.000], [0.000, 0.000, 11.251]],
  "species": ["H", "H", "H", "H", "I", "I", "I", "I", "F", "F", "F", "F"],
  "frac_coords": [[0.000, 0.020, 0.000], [0.000, 0.631, 0.671], [0.500, 0.369, 0.171], [0.500, 0.980, 0.500], [0.000, 0.667, 0.983], [0.000, 0.844, 0.738], [0.500, 0.156, 0.238], [0.500, 0.333, 0.483], [0.000, 0.156, 0.977], [0.000, 0.563, 0.152], [0.500, 0.437, 0.652], [0.500, 0.844, 0.477]],
  "total_magnetization_mub_per_cell": 0.000,
  "spacegroup": "Pmn2_1",
  "volume_a3_per_cell": 342,
  "dos_ef_per_ev_atom": 0.000
}



iv:
{
  "formula": "HIF",
  "functional": "PBE",
  "state": "optimized geometry",
  "lattice": [[-7.287, 2.422, 2.108], [7.287, -2.422, 2.108], [7.287, 2.422, -2.108]],
  "species": ["H", "H", "I", "I", "F", "F"],
  "frac_coords": [[0.227, 0.250, 0.477], [0.773, 0.750, 0.523], [0.706, 0.206, 0.500], [0.706, 0.706, 0.000], [0.081, 0.957, 0.624], [0.333, 0.457, 0.376]],
  "total_magnetization_mub_per_cell": 0.000,
  "spacegroup": "Ima2",
  "volume_a3_per_cell": 149,
  "dos_ef_per_ev_atom": 0.077
}



Energies, relative to the best one, in meV/atom: i 82; ii 0; iii 290; iv 8.



i:
{
  "formula": "HIF3",
  "functional": "PBE",
  "state": "optimized geometry",
  "lattice": [[4.541, 0.000, 0.000], [0.000, 4.541, 0.000], [0.000, 0.000, 4.541]],
  "species": ["H", "I", "F", "F", "F"],
  "frac_coords": [[0.000, 0.000, 0.000], [0.500, 0.500, 0.500], [0.000, 0.500, 0.500], [0.500, 0.000, 0.500], [0.500, 0.500, 0.000]],
  "total_magnetization_mub_per_cell": 0.993,
  "spacegroup": "Pm-3m",
  "volume_a3_per_cell": 94,
  "dos_ef_per_ev_atom": 0.257
}



ii:
{
  "formula": "HIF3",
  "functional": "PBE",
  "state": "optimized geometry",
  "lattice": [[7.235, 0.000, 0.000], [0.000, 5.742, 0.000], [-5.164, 0.000, 8.331]],
  "species": ["H", "H", "H", "H", "I", "I", "I", "I", "F", "F", "F", "F", "F", "F", "F", "F", "F", "F", "F", "F"],
  "frac_coords": [[0.203, 0.078, 0.091], [0.203, 0.422, 0.591], [0.797, 0.578, 0.409], [0.797, 0.922, 0.909], [0.325, 0.633, 0.933], [0.325, 0.867, 0.433], [0.675, 0.133, 0.567], [0.675, 0.367, 0.067], [0.142, 0.168, 0.143], [0.142, 0.332, 0.643], [0.175, 0.668, 0.241], [0.175, 0.832, 0.741], [0.337, 0.537, 0.539], [0.337, 0.963, 0.039], [0.663, 0.037, 0.961], [0.663, 0.463, 0.461], [0.825, 0.168, 0.259], [0.825, 0.332, 0.759], [0.858, 0.668, 0.357], [0.858, 0.832, 0.857]],
  "total_magnetization_mub_per_cell": 0.000,
  "spacegroup": "P2_1/c",
  "volume_a3_per_cell": 346
}



iii:
{
  "formula": "HIF3",
  "functional": "PBE",
  "state": "optimized geometry",
  "lattice": [[3.811, 0.000, 0.000], [0.000, 3.811, 0.000], [0.000, 0.000, 3.811]],
  "species": ["H", "I", "F", "F", "F"],
  "frac_coords": [[0.000, 0.000, 0.000], [0.500, 0.500, 0.500], [0.000, 0.000, 0.500], [0.000, 0.500, 0.000], [0.500, 0.000, 0.000]],
  "total_magnetization_mub_per_cell": 0.665,
  "spacegroup": "Pm-3m",
  "volume_a3_per_cell": 55,
  "dos_ef_per_ev_atom": 0.830
}



Energies, relative to the best one, in meV/atom: i 759; ii 0; iii 882.